This record from Alexandria via LeMat-Bulk describes a relaxed SmThCI crystal. The functional is GGA-PBE.

Unit cell a=3.8209 b=3.8209 c=23.4851 alpha=90.00 beta=90.00 gamma=120.00
Space group R3m (No. 160, hexagonal axes)
Inequivalent atoms, fractional coordinates:
Sm 0.0000 0.0000 0.0000
Th 0.0000 0.0000 0.7824
C 0.0000 0.0000 0.3938
I 0.0000 0.0000 0.2275

Summary:
Its raw formation energy is -0.69 eV per atom. As for the crystal system: trigonal. The density of states at the Fermi level is 1.18 states/eV/f.u.

=====

This record from Alexandria via LeMat-Bulk describes a relaxed Sm2TmC2I2 crystal. The functional is GGA-PBE.

Unit cell a=4.446 b=4.446 c=20.032 alpha=90.00 beta=90.00 gamma=90.00
Space group I4/mmm (No. 139)
Inequivalent atoms, fractional coordinates:
Sm 0.000 0.000 0.077
Tm 0.000 0.000 0.500
C 0.000 0.500 0.000
I 0.000 0.000 0.339

Summary:
Its raw formation energy is -0.52 eV per atom. As for the crystal system: tetragonal. The density of states at the Fermi level is 1.82 states/eV/f.u.

=====

This record from Alexandria via LeMat-Bulk describes a relaxed SnCI3 crystal. The functional is GGA-PBE.

Unit cell a=6.012 b=6.012 c=6.012 alpha=90.00 beta=90.00 gamma=90.00
Space group Pm-3m (No. 221)
Inequivalent atoms, fractional coordinates:
Sn 0.000 0.000 0.000
C 0.500 0.500 0.500
I 0.000 0.000 0.500

Summary:
Its raw formation energy is 1.35 eV per atom. The energy above the most stable polymorph in this dataset is 0.425 eV/atom. As for the crystal system: cubic. The density of states at the Fermi level is 13.78 states/eV/f.u.

=====

This record from Alexandria via LeMat-Bulk describes a relaxed SnC3I crystal. The functional is GGA-PBE.

Unit cell a=4.436 b=4.436 c=4.436 alpha=90.00 beta=90.00 gamma=90.00
Space group Pm-3m (No. 221)
Inequivalent atoms, fractional coordinates:
Sn 0.000 0.000 0.000
C 0.000 0.000 0.500
I 0.500 0.500 0.500

Summary:
Its raw formation energy is 2.97 eV per atom. The energy above the most stable polymorph in this dataset is 0.000 eV/atom. As for the crystal system: cubic. The density of states at the Fermi level is 3.90 states/eV/f.u.